Entry 1:
Below is a geometry-optimized BeTl2C structure, with properties calculated at the GGA-PBE level.

Cell and atoms, written as extended XYZ:
```
8
Lattice="6.014 0.000 0.000 0.000 6.014 0.000 3.007 3.007 4.648" Properties=species:S:1:pos:R:3 pbc="T T T"
Tl 4.752 1.503 1.162
Be 3.007 3.007 0.000
Be 3.007 6.014 2.324
Tl 4.510 4.268 3.486
Tl 7.517 7.759 3.486
C 6.014 3.007 2.324
Tl 1.261 4.510 1.162
C 0.000 0.000 0.000
```

Calculated values
formation enthalpy at 0 K	1.4104	eV/atom
total moment	0.00	μB per formula unit
SG	I-42d
DOS at the Fermi energy	1.384	states/eV/cell


Entry 2:
Below is a geometry-optimized Y2BeTlC structure, with properties calculated at the GGA-PBE level.

Cell and atoms, written as extended XYZ:
```
5
Lattice="5.187 0.000 0.000 0.000 5.187 0.000 0.000 0.000 3.596" Properties=species:S:1:pos:R:3 pbc="T T T"
Y 2.593 0.000 0.000
Y 0.000 2.593 0.000
Tl 2.593 2.593 1.798
Be 0.000 0.000 1.798
C 0.000 0.000 0.000
```

Calculated values
formation enthalpy at 0 K	-0.2517	eV/atom
total moment	0.00	μB per formula unit
SG	P4/mmm
DOS at the Fermi energy	3.058	states/eV/cell


Entry 3:
Below is a geometry-optimized Zr2BeTlC structure, with properties calculated at the GGA-PBE level.

Cell and atoms, written as extended XYZ:
```
5
Lattice="4.747 0.000 0.000 0.000 4.747 0.000 0.000 0.000 3.646" Properties=species:S:1:pos:R:3 pbc="T T T"
Tl 2.373 2.373 1.823
Be 0.000 0.000 1.823
Zr 0.000 2.373 0.000
C 0.000 0.000 0.000
Zr 2.373 0.000 0.000
```

Calculated values
formation enthalpy at 0 K	-0.1834	eV/atom
total moment	0.00	μB per formula unit
SG	P4/mmm
DOS at the Fermi energy	3.807	states/eV/cell


Entry 4:
Below is a geometry-optimized Tm2BeC structure, with properties calculated at the GGA-PBE level.

Cell and atoms, written as extended XYZ:
```
4
Lattice="-1.770 3.081 -0.242 -1.103 1.657 2.953 4.939 4.991 1.192" Properties=species:S:1:pos:R:3 pbc="T T T"
Tm 0.848 2.624 0.992
Tm 1.218 7.105 2.910
C 1.033 4.864 1.951
Be 0.000 0.000 0.000
```

Calculated values
formation enthalpy at 0 K	0.0367	eV/atom
total moment	0.85	μB per formula unit
SG	R-3m
DOS at the Fermi energy	2.085	states/eV/cell


- What is the DOS at the Fermi energy in the third record?
  3.807 states/eV/cell


- What is the formula in the second record?
  Y2BeTlC


Please write out number 2 again, unchanged.
Below is a geometry-optimized Y2BeTlC structure, with properties calculated at the GGA-PBE level.

Cell and atoms, written as extended XYZ:
```
5
Lattice="5.187 0.000 0.000 0.000 5.187 0.000 0.000 0.000 3.596" Properties=species:S:1:pos:R:3 pbc="T T T"
Y 2.593 0.000 0.000
Y 0.000 2.593 0.000
Tl 2.593 2.593 1.798
Be 0.000 0.000 1.798
C 0.000 0.000 0.000
```

Calculated values
formation enthalpy at 0 K	-0.2517	eV/atom
total moment	0.00	μB per formula unit
SG	P4/mmm
DOS at the Fermi energy	3.058	states/eV/cell